1.
DFT (GGA-PBE) results for crystalline Pm4CdIn at its relaxed geometry.

abc: 3.6864 3.6864 13.5305
angles: 90.00 90.00 90.00
With the nearest neighbours (Å) after each atom.
Fractional positions:
Pm (0.0000, 0.0000, 0.1540)  4 Cd 3.34, 8 Pm 3.66-3.69
Pm (0.0000, 0.0000, 0.8460)  4 Cd 3.34, 8 Pm 3.66-3.69
Pm (0.5000, 0.5000, 0.3441)  4 In 3.35, 8 Pm 3.66-3.69
Pm (0.5000, 0.5000, 0.6559)  4 In 3.35, 8 Pm 3.66-3.69
Cd (0.5000, 0.5000, 0.0000)  8 Pm 3.34, 4 Cd 3.69
In (0.0000, 0.0000, 0.5000)  8 Pm 3.35, 4 In 3.69

Summary:
Its formation energy is -246 meV/atom. The value obtained for the calculated density is 7.290 g/cm³. For the volume, the calculation gives 183.9 Å³ per cell. The value obtained for the density of states at the Fermi level is 1.223 states/eV per atom. Its energy above the most stable polymorph in this dataset is 0 kJ/mol of formula units.

2.
DFT (GGA-PBE) results for crystalline ZrFeSe2 at its relaxed geometry.

abc: 3.5606 3.5606 6.4869
angles: 90.00 90.00 90.00
With the nearest neighbours (Å) after each atom.
Fractional positions:
Zr (0.0000, 0.0000, 0.0000)  5 Se 2.58-2.69
Fe (0.5000, 0.5000, 0.2586)  5 Se 2.63-2.67
Se (0.0000, 0.0000, 0.3978)  1 Zr 2.58, 4 Fe 2.67
Se (0.5000, 0.5000, 0.8526)  1 Fe 2.63, 4 Zr 2.69

Summary:
For the raw formation energy, the calculation gives -677.9 meV/atom. The value obtained for the calculated density is 6.158 g/cm³. For the volume, the calculation gives 82.2 Å³ per cell. The value obtained for the density of states at the Fermi level is 0.631 states/eV per atom. Its energy above the most stable polymorph in this dataset is 0 kJ/mol of formula units.

3.
DFT (GGA-PBE) results for crystalline Er8Ge2C3 at its relaxed geometry.

abc: 7.9247 7.9247 6.3071
angles: 106.00 106.00 53.99
With the nearest neighbours (Å) after each atom.
Fractional positions:
Er (0.0978, 0.0978, 0.4045)  3 C 2.49-2.50
Er (0.1383, 0.6614, 0.1040)  2 C 2.44-2.46
Er (0.3386, 0.8617, 0.8960)  2 C 2.44-2.46
Er (0.3958, 0.3958, 0.5716)  2 C 2.42
Er (0.6042, 0.6042, 0.4284)  2 C 2.42
Er (0.6614, 0.1383, 0.1040)  2 C 2.44-2.46
Er (0.8617, 0.3386, 0.8960)  2 C 2.44-2.46
Er (0.9022, 0.9022, 0.5955)  3 C 2.49-2.50
Ge (0.2555, 0.2555, 0.8251)  6 Er 2.89-2.93
Ge (0.7445, 0.7445, 0.1749)  6 Er 2.89-2.93
C (0.0000, 0.0000, 0.0000)  6 Er 2.44-2.50
C (0.2570, 0.7430, 0.5000)  6 Er 2.42-2.49
C (0.7430, 0.2570, 0.5000)  6 Er 2.42-2.49

Summary:
Its formation energy is -417 meV/atom. The value obtained for the calculated density is 8.281 g/cm³. For the volume, the calculation gives 304.7 Å³ per cell. The value obtained for the density of states at the Fermi level is 0.566 states/eV per atom.

4.
DFT (GGA-PBE) results for crystalline Ac3Zn2SbO9 at its relaxed geometry.

abc: 5.7754 5.7754 7.0919
angles: 90.00 90.00 120.00
With the nearest neighbours (Å) after each atom.
Fractional positions:
Ac (0.0000, 0.0000, 0.0000)  12 O 2.85-2.89
Ac (0.3333, 0.6667, 0.7127)  9 O 2.63-2.91
Ac (0.6667, 0.3333, 0.2873)  9 O 2.63-2.91
Zn (0.3333, 0.6667, 0.1704)  6 O 2.06-2.08
Zn (0.6667, 0.3333, 0.8296)  6 O 2.06-2.08
Sb (0.0000, 0.0000, 0.5000)  6 O 1.99
O (0.0000, 0.5000, 0.0000)  2 Zn 2.06
O (0.1595, 0.3189, 0.3322)  1 Sb 1.99, 1 Zn 2.08
O (0.1595, 0.8405, 0.3322)  1 Sb 1.99, 1 Zn 2.08
O (0.3189, 0.1595, 0.6678)  1 Sb 1.99, 1 Zn 2.08
O (0.5000, 0.0000, 0.0000)  2 Zn 2.06
O (0.5000, 0.5000, 0.0000)  2 Zn 2.06
O (0.6811, 0.8405, 0.3322)  1 Sb 1.99, 1 Zn 2.08
O (0.8405, 0.1595, 0.6678)  1 Sb 1.99, 1 Zn 2.08
O (0.8405, 0.6811, 0.6678)  1 Sb 1.99, 1 Zn 2.08

Summary:
For the raw formation energy, the calculation gives -2385.2 meV/atom. The value obtained for the calculated density is 8.735 g/cm³. For the volume, the calculation gives 204.9 Å³ per cell. The value obtained for the density of states at the Fermi level is 0.000 states/eV per atom.

5.
DFT (GGA-PBE) results for crystalline ReOs at its relaxed geometry.

abc: 5.2447 5.2447 4.2701
angles: 90.00 90.00 149.50
With the nearest neighbours (Å) after each atom.
Fractional positions:
Re (0.0676, 0.9324, 0.7500)  4 Re 2.54-2.76, 7 Os 2.65-2.78
Re (0.9324, 0.0676, 0.2500)  4 Re 2.54-2.76, 7 Os 2.65-2.78
Os (0.3295, 0.6705, 0.7500)  7 Re 2.65-2.78, 2 Os 2.76
Os (0.6705, 0.3295, 0.2500)  7 Re 2.65-2.78, 2 Os 2.76

Summary:
Its formation energy is 160 meV/atom. The value obtained for the calculated density is 20.969 g/cm³. For the volume, the calculation gives 59.6 Å³ per cell. The value obtained for the density of states at the Fermi level is 0.846 states/eV per atom. Its energy above the most stable polymorph in this dataset is 49 kJ/mol of formula units.

6.
DFT (GGA-PBE) results for crystalline Y2TiCu at its relaxed geometry.

abc: 5.0688 5.0688 5.0688
angles: 60.00 60.00 60.00
With the nearest neighbours (Å) after each atom.
Fractional positions:
Y (0.2500, 0.2500, 0.2500)  4 Cu 3.10, 4 Ti 3.10
Y (0.7500, 0.7500, 0.7500)  4 Cu 3.10, 4 Ti 3.10
Ti (0.0000, 0.0000, 0.0000)  8 Y 3.10
Cu (0.5000, 0.5000, 0.5000)  8 Y 3.10

Summary:
Its formation energy is 180 meV/atom. The value obtained for the calculated density is 5.215 g/cm³. For the volume, the calculation gives 92.1 Å³ per cell. The value obtained for the density of states at the Fermi level is 1.016 states/eV per atom. Its energy above the most stable polymorph in this dataset is 59 kJ/mol of formula units.

7.
DFT (GGA-PBE) results for crystalline Rb3AgH2Cl6 at its relaxed geometry.

abc: 6.9680 6.9680 8.3599
angles: 90.00 90.00 120.00
With the nearest neighbours (Å) after each atom.
Fractional positions:
Rb (0.0000, 0.0000, 0.0000)  6 Cl 3.28
Rb (0.3333, 0.6667, 0.6503)  1 H 3.04
Rb (0.6667, 0.3333, 0.3497)  1 H 3.04
Ag (0.0000, 0.0000, 0.5000)  6 Cl 2.80
H (0.3333, 0.6667, 0.2865)  3 Cl 1.83
H (0.6667, 0.3333, 0.7135)  3 Cl 1.83
Cl (0.1816, 0.3633, 0.2918)  1 H 1.83
Cl (0.1816, 0.8184, 0.2918)  1 H 1.83
Cl (0.3633, 0.1816, 0.7082)  1 H 1.83
Cl (0.6367, 0.8184, 0.2918)  1 H 1.83
Cl (0.8184, 0.1816, 0.7082)  1 H 1.83
Cl (0.8184, 0.6367, 0.7082)  1 H 1.83

Summary:
The value obtained for the calculated density is 2.735 g/cm³. For the volume, the calculation gives 351.5 Å³ per cell. The uncorrected energy comes out at -3.02 eV per atom. The value obtained for the density of states at the Fermi level is 0.000 states/eV per atom.

8.
DFT (GGA-PBE) results for crystalline LaIF at its relaxed geometry.

abc: 6.2373 6.2373 6.2373
angles: 145.83 145.83 49.10
With the nearest neighbours (Å) after each atom.
Fractional positions:
La (0.0000, 0.0000, 0.0000)  4 F 2.73
I (0.3100, 0.3100, 0.0000)  1 F 3.03, 4 La 3.37
F (0.5770, 0.5770, 0.0000)  4 La 2.73, 1 I 3.03

Summary:
For the raw formation energy, the calculation gives -2205.8 meV/atom. The value obtained for the calculated density is 6.207 g/cm³. For the volume, the calculation gives 76.2 Å³ per cell. The value obtained for the density of states at the Fermi level is 0.510 states/eV per atom.

9.
DFT (GGA-PBE) results for crystalline Pm3PtPb at its relaxed geometry.

abc: 5.5460 5.5460 5.5460
angles: 90.00 90.00 90.00
With the nearest neighbours (Å) after each atom.
Fractional positions:
Pm (0.0000, 0.0000, 0.5000)  2 Pt 2.77
Pm (0.0000, 0.5000, 0.0000)  2 Pt 2.77
Pm (0.5000, 0.0000, 0.0000)  2 Pt 2.77
Pt (0.0000, 0.0000, 0.0000)  6 Pm 2.77
Pb (0.5000, 0.5000, 0.5000)  12 Pm 3.92

Summary:
Its formation energy is -487 meV/atom. The value obtained for the calculated density is 8.151 g/cm³. For the volume, the calculation gives 170.6 Å³ per cell. The value obtained for the density of states at the Fermi level is 1.112 states/eV per atom. Its energy above the most stable polymorph in this dataset is 37 kJ/mol of formula units.

10.
DFT (GGA-PBE) results for crystalline RbBa2Ge2 at its relaxed geometry.

abc: 7.3948 7.3948 7.3948
angles: 133.88 133.88 67.27
With the nearest neighbours (Å) after each atom.
Fractional positions:
Rb (0.0000, 0.0000, 0.0000)  8 Ba 4.23, 8 Ge 4.28
Ba (0.2500, 0.7500, 0.5000)  4 Ge 3.43
Ba (0.7500, 0.2500, 0.5000)  4 Ge 3.43
Ge (0.3992, 0.3992, 0.0000)  1 Ge 2.48
Ge (0.6008, 0.6008, 0.0000)  1 Ge 2.48

Summary:
Its formation energy is -170 meV/atom. The value obtained for the calculated density is 4.062 g/cm³. For the volume, the calculation gives 206.6 Å³ per cell. The value obtained for the density of states at the Fermi level is 1.247 states/eV per atom. Its energy above the most stable polymorph in this dataset is 67 kJ/mol of formula units.

11.
DFT (GGA-PBE) results for crystalline Rb2SbI6N at its relaxed geometry.

abc: 8.5632 8.5632 8.5632
angles: 125.28 125.28 81.08
With the nearest neighbours (Å) after each atom.
Fractional positions:
Rb (0.2500, 0.7500, 0.5000)  12 I 3.94-4.29
Rb (0.7500, 0.2500, 0.5000)  12 I 3.94-4.29
Sb (0.0000, 0.0000, 0.0000)  6 I 3.00-3.03
I (0.2324, 0.2324, 0.0000)  1 Sb 3.03
I (0.2698, 0.2698, 0.5395)  1 N 2.56
I (0.2698, 0.7302, 0.0000)  1 N 2.56
I (0.7302, 0.2698, 0.0000)  1 N 2.56
I (0.7302, 0.7302, 0.4605)  1 N 2.56
I (0.7676, 0.7676, 0.0000)  1 Sb 3.03
N (0.5000, 0.5000, 0.0000)  4 I 2.56

Summary:
For the raw formation energy, the calculation gives -269.0 meV/atom. The value obtained for the calculated density is 4.399 g/cm³. For the volume, the calculation gives 403.2 Å³ per cell. The value obtained for the density of states at the Fermi level is 0.179 states/eV per atom.

What did the second record say?
DFT (GGA-PBE) results for crystalline ZrFeSe2 at its relaxed geometry.

abc: 3.5606 3.5606 6.4869
angles: 90.00 90.00 90.00
With the nearest neighbours (Å) after each atom.
Fractional positions:
Zr (0.0000, 0.0000, 0.0000)  5 Se 2.58-2.69
Fe (0.5000, 0.5000, 0.2586)  5 Se 2.63-2.67
Se (0.0000, 0.0000, 0.3978)  1 Zr 2.58, 4 Fe 2.67
Se (0.5000, 0.5000, 0.8526)  1 Fe 2.63, 4 Zr 2.69

Summary:
For the raw formation energy, the calculation gives -677.9 meV/atom. The value obtained for the calculated density is 6.158 g/cm³. For the volume, the calculation gives 82.2 Å³ per cell. The value obtained for the density of states at the Fermi level is 0.631 states/eV per atom. Its energy above the most stable polymorph in this dataset is 0 kJ/mol of formula units.

Copy entry 11 word for word.
DFT (GGA-PBE) results for crystalline Rb2SbI6N at its relaxed geometry.

abc: 8.5632 8.5632 8.5632
angles: 125.28 125.28 81.08
With the nearest neighbours (Å) after each atom.
Fractional positions:
Rb (0.2500, 0.7500, 0.5000)  12 I 3.94-4.29
Rb (0.7500, 0.2500, 0.5000)  12 I 3.94-4.29
Sb (0.0000, 0.0000, 0.0000)  6 I 3.00-3.03
I (0.2324, 0.2324, 0.0000)  1 Sb 3.03
I (0.2698, 0.2698, 0.5395)  1 N 2.56
I (0.2698, 0.7302, 0.0000)  1 N 2.56
I (0.7302, 0.2698, 0.0000)  1 N 2.56
I (0.7302, 0.7302, 0.4605)  1 N 2.56
I (0.7676, 0.7676, 0.0000)  1 Sb 3.03
N (0.5000, 0.5000, 0.0000)  4 I 2.56

Summary:
For the raw formation energy, the calculation gives -269.0 meV/atom. The value obtained for the calculated density is 4.399 g/cm³. For the volume, the calculation gives 403.2 Å³ per cell. The value obtained for the density of states at the Fermi level is 0.179 states/eV per atom.

Copy entry 5 word for word.
DFT (GGA-PBE) results for crystalline ReOs at its relaxed geometry.

abc: 5.2447 5.2447 4.2701
angles: 90.00 90.00 149.50
With the nearest neighbours (Å) after each atom.
Fractional positions:
Re (0.0676, 0.9324, 0.7500)  4 Re 2.54-2.76, 7 Os 2.65-2.78
Re (0.9324, 0.0676, 0.2500)  4 Re 2.54-2.76, 7 Os 2.65-2.78
Os (0.3295, 0.6705, 0.7500)  7 Re 2.65-2.78, 2 Os 2.76
Os (0.6705, 0.3295, 0.2500)  7 Re 2.65-2.78, 2 Os 2.76

Summary:
Its formation energy is 160 meV/atom. The value obtained for the calculated density is 20.969 g/cm³. For the volume, the calculation gives 59.6 Å³ per cell. The value obtained for the density of states at the Fermi level is 0.846 states/eV per atom. Its energy above the most stable polymorph in this dataset is 49 kJ/mol of formula units.

What is the volume in the fifth record?
59.6 Å³ per cell